A plane-wave DFT calculation with PBE was carried out for a relaxed structure of PdSe2NO.

abc: 4.363 4.363 3.789
angles: 90.00 90.00 90.00
Fractional positions:
O: 0.000 0.000 0.000
Se: 0.000 0.500 0.000
Se: 0.500 0.000 0.000
Pd: 0.500 0.500 0.500
N: 0.000 0.000 0.500

Values from the calculation:
- Space group: P4/mmm, No. 123
- Theoretical density: 6.78 g/cm³
- Total DFT energy (no corrections): -3.815 eV/atom
- V: 72.1 Å³/f.u.
- Raw formation energy: 1.27 eV per atom



A plane-wave DFT calculation with PBE was carried out for a relaxed structure of Sr2PmPaS6.

abc: 7.031 7.528 10.256
angles: 90.00 89.83 90.00
Fractional positions:
Sr: 0.028 0.920 0.252
Sr: 0.528 0.580 0.752
Sr: 0.972 0.080 0.748
Sr: 0.472 0.420 0.248
Pm: 0.500 0.000 0.000
Pm: 0.000 0.500 0.500
Pa: 0.500 0.000 0.500
Pa: 0.000 0.500 0.000
S: 0.302 0.688 0.062
S: 0.802 0.812 0.562
S: 0.698 0.312 0.938
S: 0.198 0.188 0.438
S: 0.318 0.703 0.433
S: 0.818 0.797 0.933
S: 0.682 0.297 0.567
S: 0.182 0.203 0.067
S: 0.878 0.543 0.242
S: 0.378 0.957 0.742
S: 0.122 0.457 0.758
S: 0.622 0.043 0.258

Values from the calculation:
- Space group: P2_1/c, No. 14
- Theoretical density: 4.55 g/cm³
- Total DFT energy (no corrections): -6.180 eV/atom
- V: 271.4 Å³/f.u.
- Raw formation energy: -1.94 eV per atom



A plane-wave DFT calculation with PBE was carried out for a relaxed structure of MgTl2Cl.

abc: 5.108 3.649 6.159
angles: 72.49 90.00 90.00
Fractional positions:
Cl: 0.000 0.655 0.571
Mg: 0.500 0.596 0.675
Tl: 0.000 0.925 0.026
Tl: 0.500 0.324 0.228

Values from the calculation:
- Space group: Pm, No. 6
- Theoretical density: 7.11 g/cm³
- Total DFT energy (no corrections): -2.437 eV/atom
- V: 109.5 Å³/f.u.
- Raw formation energy: -0.39 eV per atom



What did the first record say?
A plane-wave DFT calculation with PBE was carried out for a relaxed structure of PdSe2NO.

abc: 4.363 4.363 3.789
angles: 90.00 90.00 90.00
Fractional positions:
O: 0.000 0.000 0.000
Se: 0.000 0.500 0.000
Se: 0.500 0.000 0.000
Pd: 0.500 0.500 0.500
N: 0.000 0.000 0.500

Values from the calculation:
- Space group: P4/mmm, No. 123
- Theoretical density: 6.78 g/cm³
- Total DFT energy (no corrections): -3.815 eV/atom
- V: 72.1 Å³/f.u.
- Raw formation energy: 1.27 eV per atom



Question: Look up the total DFT energy (no corrections) of the first one.
Answer: -3.815 eV/atom



Question: Among the records above, which one has the highest V?
Answer: Sr2PmPaS6